Model i:
Entry from Alexandria: a relaxed structure of TbMgHgPb (PBE). Values from VASP.

```
&SYSTEM
  ibrav = 0, nat = 4, ntyp = 4
/
ATOMIC_SPECIES
Tb 158.93 Tb.upf
Mg 24.30 Mg.upf
Hg 200.59 Hg.upf
Pb 207.20 Pb.upf
CELL_PARAMETERS angstrom
0.0000 3.7040 3.7040
3.7040 0.0000 3.7040
3.7040 3.7040 0.0000
ATOMIC_POSITIONS crystal
Tb 0.0000 0.0000 0.0000
Mg 0.5000 0.5000 0.5000
Hg 0.7500 0.7500 0.7500
Pb 0.2500 0.2500 0.2500
```

***

Model ii:
Entry from Alexandria: a relaxed structure of TbMgHgPb (PBE). Values from VASP.

```
&SYSTEM
  ibrav = 0, nat = 4, ntyp = 4
/
ATOMIC_SPECIES
Tb 158.93 Tb.upf
Mg 24.30 Mg.upf
Hg 200.59 Hg.upf
Pb 207.20 Pb.upf
CELL_PARAMETERS angstrom
4.2660 0.0000 0.0000
0.0000 4.7638 0.0000
0.0000 0.0000 4.9680
ATOMIC_POSITIONS crystal
Tb 0.0000 0.0000 0.0000
Mg 0.0000 0.5000 0.5000
Hg 0.5000 0.0000 0.5000
Pb 0.5000 0.5000 0.0000
```

***

Energies relative to the minimum, meV/atom: model i 71; model ii 0

***

Model i:
Entry from Alexandria: a relaxed structure of ThMgHgPb (PBE). Values from VASP.

```
&SYSTEM
  ibrav = 0, nat = 4, ntyp = 4
/
ATOMIC_SPECIES
Th 232.04 Th.upf
Mg 24.30 Mg.upf
Hg 200.59 Hg.upf
Pb 207.20 Pb.upf
CELL_PARAMETERS angstrom
0.0000 3.7645 3.7645
3.7645 0.0000 3.7645
3.7645 3.7645 0.0000
ATOMIC_POSITIONS crystal
Th 0.0000 0.0000 0.0000
Mg 0.5000 0.5000 0.5000
Hg 0.2500 0.2500 0.2500
Pb 0.7500 0.7500 0.7500
```

***

Model ii:
Entry from Alexandria: a relaxed structure of ThMgHgPb (PBE). Values from VASP.

```
&SYSTEM
  ibrav = 0, nat = 4, ntyp = 4
/
ATOMIC_SPECIES
Th 232.04 Th.upf
Mg 24.30 Mg.upf
Hg 200.59 Hg.upf
Pb 207.20 Pb.upf
CELL_PARAMETERS angstrom
4.4776 0.0000 0.0000
0.0000 4.7929 0.0000
0.0000 0.0000 5.0195
ATOMIC_POSITIONS crystal
Th 0.0000 0.0000 0.0000
Mg 0.0000 0.5000 0.5000
Hg 0.5000 0.0000 0.5000
Pb 0.5000 0.5000 0.0000
```

***

Energies relative to the minimum, meV/atom: model i 70; model ii 0

***

Model i:
Entry from Alexandria: a relaxed structure of Mg6Hg2Pd (PBE). Values from VASP.

```
&SYSTEM
  ibrav = 0, nat = 9, ntyp = 3
/
ATOMIC_SPECIES
Mg 24.30 Mg.upf
Hg 200.59 Hg.upf
Pd 106.42 Pd.upf
CELL_PARAMETERS angstrom
7.3510 -3.3424 0.0000
7.3510 3.3424 0.0000
-1.3738 0.0000 4.3073
ATOMIC_POSITIONS crystal
Mg 0.0750 0.6059 0.3414
Mg 0.2306 0.7694 0.0000
Mg 0.3941 0.9250 0.6586
Mg 0.6059 0.0750 0.3414
Mg 0.7694 0.2306 0.0000
Mg 0.9250 0.3941 0.6586
Hg 0.3346 0.3346 0.8350
Hg 0.6654 0.6654 0.1650
Pd 0.0000 0.0000 0.5000
```

***

Model ii:
Entry from Alexandria: a relaxed structure of Mg6Hg2Pd (PBE). Values from VASP.

```
&SYSTEM
  ibrav = 0, nat = 9, ntyp = 3
/
ATOMIC_SPECIES
Mg 24.30 Mg.upf
Hg 200.59 Hg.upf
Pd 106.42 Pd.upf
CELL_PARAMETERS angstrom
7.7991 0.0000 0.0000
-3.8995 6.7542 0.0000
0.0000 0.0000 3.5463
ATOMIC_POSITIONS crystal
Mg 0.0000 0.3770 0.0000
Mg 0.0000 0.7413 0.5000
Mg 0.2587 0.2587 0.5000
Mg 0.3770 0.0000 0.0000
Mg 0.6230 0.6230 0.0000
Mg 0.7413 0.0000 0.5000
Hg 0.3333 0.6667 0.5000
Hg 0.6667 0.3333 0.5000
Pd 0.0000 0.0000 0.0000
```

***

Energies relative to the minimum, meV/atom: model i 109; model ii 0

***

Model i:
Entry from Alexandria: a relaxed structure of Mg2HgPd5 (PBE). Values from VASP.

```
&SYSTEM
  ibrav = 0, nat = 16, ntyp = 3
/
ATOMIC_SPECIES
Mg 24.30 Mg.upf
Hg 200.59 Hg.upf
Pd 106.42 Pd.upf
CELL_PARAMETERS angstrom
5.6389 0.0000 0.0000
0.0000 11.2301 0.0000
0.0000 0.0000 4.1323
ATOMIC_POSITIONS crystal
Mg 0.2098 0.1351 0.0000
Mg 0.2902 0.6351 0.0000
Mg 0.7098 0.3649 0.0000
Mg 0.7902 0.8649 0.0000
Hg 0.0000 0.5000 0.5000
Hg 0.5000 0.0000 0.5000
Pd 0.0000 0.0000 0.5000
Pd 0.0400 0.7498 0.5000
Pd 0.2268 0.3778 0.0000
Pd 0.2732 0.8778 0.0000
Pd 0.4600 0.2498 0.5000
Pd 0.5000 0.5000 0.5000
Pd 0.5400 0.7502 0.5000
Pd 0.7268 0.1222 0.0000
Pd 0.7732 0.6222 0.0000
Pd 0.9600 0.2502 0.5000
```

***

Model ii:
Entry from Alexandria: a relaxed structure of Mg2HgPd5 (PBE). Values from VASP.

```
&SYSTEM
  ibrav = 0, nat = 8, ntyp = 3
/
ATOMIC_SPECIES
Mg 24.30 Mg.upf
Hg 200.59 Hg.upf
Pd 106.42 Pd.upf
CELL_PARAMETERS angstrom
3.7544 -4.1670 0.0000
3.7544 4.1670 0.0000
-3.7456 0.0000 4.1710
ATOMIC_POSITIONS crystal
Mg 0.0000 0.5000 0.0000
Mg 0.5000 0.0000 0.0000
Hg 0.0000 0.0000 0.5000
Pd 0.0000 0.0000 0.0000
Pd 0.0000 0.5000 0.5000
Pd 0.5000 0.0000 0.5000
Pd 0.5000 0.5000 0.0000
Pd 0.5000 0.5000 0.5000
```

***

Energies relative to the minimum, meV/atom: model i 0; model ii 11

***

Model i:
Entry from Alexandria: a relaxed structure of MgHgPd5 (PBE). Values from VASP.

```
&SYSTEM
  ibrav = 0, nat = 7, ntyp = 3
/
ATOMIC_SPECIES
Mg 24.30 Mg.upf
Hg 200.59 Hg.upf
Pd 106.42 Pd.upf
CELL_PARAMETERS angstrom
4.2138 0.0000 0.0000
0.0000 4.2138 0.0000
0.0000 0.0000 6.8006
ATOMIC_POSITIONS crystal
Mg 0.0000 0.0000 0.0000
Hg 0.5000 0.5000 0.5000
Pd 0.0000 0.0000 0.5000
Pd 0.0000 0.5000 0.2203
Pd 0.0000 0.5000 0.7797
Pd 0.5000 0.0000 0.2203
Pd 0.5000 0.0000 0.7797
```

***

Model ii:
Entry from Alexandria: a relaxed structure of MgHgPd5 (PBE). Values from VASP.

```
&SYSTEM
  ibrav = 0, nat = 7, ntyp = 3
/
ATOMIC_SPECIES
Mg 24.30 Mg.upf
Hg 200.59 Hg.upf
Pd 106.42 Pd.upf
CELL_PARAMETERS angstrom
-2.5646 2.6382 4.6760
2.5646 -2.6382 4.6760
2.5646 2.6382 -4.6760
ATOMIC_POSITIONS crystal
Mg 0.0000 0.0000 0.0000
Hg 0.1989 0.6989 0.5000
Pd 0.2009 0.4446 0.7563
Pd 0.4758 0.9758 0.5000
Pd 0.6882 0.4446 0.2437
Pd 0.7244 0.4776 0.7532
Pd 0.7244 0.9712 0.2468
```

***

Energies relative to the minimum, meV/atom: model i 0; model ii 54

***

Model i:
Entry from Alexandria: a relaxed structure of Mg2HgPd8 (PBE). Values from VASP.

```
&SYSTEM
  ibrav = 0, nat = 11, ntyp = 3
/
ATOMIC_SPECIES
Mg 24.30 Mg.upf
Hg 200.59 Hg.upf
Pd 106.42 Pd.upf
CELL_PARAMETERS angstrom
-2.1405 3.4257 6.1948
2.1405 -3.4257 6.1948
2.1405 3.4257 -6.1948
ATOMIC_POSITIONS crystal
Mg 0.1978 0.1978 0.0000
Mg 0.8022 0.8022 0.0000
Hg 0.5000 0.5000 0.0000
Pd 0.0588 0.3453 0.7134
Pd 0.1990 0.0000 0.1990
Pd 0.3447 0.8447 0.5000
Pd 0.3681 0.6547 0.7134
Pd 0.6319 0.3453 0.2866
Pd 0.6553 0.1553 0.5000
Pd 0.8010 0.0000 0.8010
Pd 0.9412 0.6547 0.2866
```

***

Model ii:
Entry from Alexandria: a relaxed structure of Mg2HgPd8 (PBE). Values from VASP.

```
&SYSTEM
  ibrav = 0, nat = 11, ntyp = 3
/
ATOMIC_SPECIES
Mg 24.30 Mg.upf
Hg 200.59 Hg.upf
Pd 106.42 Pd.upf
CELL_PARAMETERS angstrom
7.1291 -2.0378 0.0000
7.1291 2.0378 0.0000
-1.7723 0.0000 6.0791
ATOMIC_POSITIONS crystal
Mg 0.2236 0.2236 0.1524
Mg 0.7764 0.7764 0.8476
Hg 0.5000 0.5000 0.5000
Pd 0.0440 0.0440 0.2228
Pd 0.1439 0.1439 0.6962
Pd 0.3188 0.3188 0.5892
Pd 0.4036 0.4036 0.0377
Pd 0.5964 0.5964 0.9623
Pd 0.6812 0.6812 0.4108
Pd 0.8561 0.8561 0.3038
Pd 0.9560 0.9560 0.7772
```

***

Energies relative to the minimum, meV/atom: model i 76; model ii 0

***

Model i:
Entry from Alexandria: a relaxed structure of Mg2HgPd6 (PBE). Values from VASP.

```
&SYSTEM
  ibrav = 0, nat = 9, ntyp = 3
/
ATOMIC_SPECIES
Mg 24.30 Mg.upf
Hg 200.59 Hg.upf
Pd 106.42 Pd.upf
CELL_PARAMETERS angstrom
-2.3251 3.8389 4.2737
2.3251 -3.8389 4.2737
2.3251 3.8389 -4.2737
ATOMIC_POSITIONS crystal
Mg 0.1711 0.1711 0.0000
Mg 0.8289 0.8289 0.0000
Hg 0.5000 0.5000 0.0000
Pd 0.0204 0.3325 0.6879
Pd 0.2958 0.0000 0.2958
Pd 0.3553 0.6675 0.6879
Pd 0.6447 0.3325 0.3121
Pd 0.7042 0.0000 0.7042
Pd 0.9796 0.6675 0.3121
```

***

Model ii:
Entry from Alexandria: a relaxed structure of Mg2HgPd6 (PBE). Values from VASP.

```
&SYSTEM
  ibrav = 0, nat = 18, ntyp = 3
/
ATOMIC_SPECIES
Mg 24.30 Mg.upf
Hg 200.59 Hg.upf
Pd 106.42 Pd.upf
CELL_PARAMETERS angstrom
8.4326 0.0000 0.0000
0.0000 8.4326 0.0000
0.0000 0.0000 4.1155
ATOMIC_POSITIONS crystal
Mg 0.1833 0.1833 0.0000
Mg 0.3167 0.6833 0.5000
Mg 0.6833 0.3167 0.5000
Mg 0.8167 0.8167 0.0000
Hg 0.0000 0.0000 0.5000
Hg 0.5000 0.5000 0.0000
Pd 0.0077 0.3361 0.5000
Pd 0.1583 0.8417 0.0000
Pd 0.1639 0.5077 0.0000
Pd 0.3361 0.0077 0.5000
Pd 0.3417 0.3417 0.5000
Pd 0.4923 0.8361 0.0000
Pd 0.5077 0.1639 0.0000
Pd 0.6583 0.6583 0.5000
Pd 0.6639 0.9923 0.5000
Pd 0.8361 0.4923 0.0000
Pd 0.8417 0.1583 0.0000
Pd 0.9923 0.6639 0.5000
```

***

Energies relative to the minimum, meV/atom: model i 122; model ii 0

***

Model i:
Entry from Alexandria: a relaxed structure of Mg2HgPd3 (PBE). Values from VASP.

```
&SYSTEM
  ibrav = 0, nat = 6, ntyp = 3
/
ATOMIC_SPECIES
Mg 24.30 Mg.upf
Hg 200.59 Hg.upf
Pd 106.42 Pd.upf
CELL_PARAMETERS angstrom
2.1244 -6.4733 0.0000
2.1244 6.4733 0.0000
0.0000 0.0000 3.6508
ATOMIC_POSITIONS crystal
Mg 0.1650 0.8350 0.0000
Mg 0.8350 0.1650 0.0000
Hg 0.5000 0.5000 0.0000
Pd 0.0000 0.0000 0.5000
Pd 0.3277 0.6723 0.5000
Pd 0.6723 0.3277 0.5000
```

***

Model ii:
Entry from Alexandria: a relaxed structure of Mg2HgPd3 (PBE). Values from VASP.

```
&SYSTEM
  ibrav = 0, nat = 6, ntyp = 3
/
ATOMIC_SPECIES
Mg 24.30 Mg.upf
Hg 200.59 Hg.upf
Pd 106.42 Pd.upf
CELL_PARAMETERS angstrom
3.0890 0.0000 0.0000
0.0000 3.0890 0.0000
0.0000 0.0000 10.5119
ATOMIC_POSITIONS crystal
Mg 0.0000 0.0000 0.1596
Mg 0.0000 0.0000 0.8404
Hg 0.0000 0.0000 0.5000
Pd 0.5000 0.5000 0.0000
Pd 0.5000 0.5000 0.3144
Pd 0.5000 0.5000 0.6856
```

***

Energies relative to the minimum, meV/atom: model i 0; model ii 23

***

Model i:
Entry from Alexandria: a relaxed structure of Mg3HgPd6 (PBE). Values from VASP.

```
&SYSTEM
  ibrav = 0, nat = 20, ntyp = 3
/
ATOMIC_SPECIES
Mg 24.30 Mg.upf
Hg 200.59 Hg.upf
Pd 106.42 Pd.upf
CELL_PARAMETERS angstrom
8.3739 0.0000 0.0000
0.0000 4.2544 0.0000
-1.2213 0.0000 9.1312
ATOMIC_POSITIONS crystal
Mg 0.0511 0.2500 0.3970
Mg 0.1515 0.7500 0.1898
Mg 0.2548 0.2500 0.9769
Mg 0.7452 0.7500 0.0231
Mg 0.8485 0.2500 0.8102
Mg 0.9489 0.7500 0.6030
Hg 0.4433 0.2500 0.6074
Hg 0.5567 0.7500 0.3926
Pd 0.0375 0.7500 0.8975
Pd 0.1290 0.2500 0.6919
Pd 0.2353 0.7500 0.4897
Pd 0.3376 0.2500 0.2829
Pd 0.3420 0.7500 0.7985
Pd 0.4419 0.7500 0.0940
Pd 0.5581 0.2500 0.9060
Pd 0.6580 0.2500 0.2015
Pd 0.6624 0.7500 0.7171
Pd 0.7647 0.2500 0.5103
Pd 0.8710 0.7500 0.3081
Pd 0.9625 0.2500 0.1025
```

***

Model ii:
Entry from Alexandria: a relaxed structure of Mg3HgPd6 (PBE). Values from VASP.

```
&SYSTEM
  ibrav = 0, nat = 20, ntyp = 3
/
ATOMIC_SPECIES
Mg 24.30 Mg.upf
Hg 200.59 Hg.upf
Pd 106.42 Pd.upf
CELL_PARAMETERS angstrom
4.8480 -6.6380 0.0000
4.8480 6.6380 0.0000
0.0000 0.0000 5.3856
ATOMIC_POSITIONS crystal
Mg 0.1056 0.8944 0.5000
Mg 0.2184 0.3844 0.8774
Mg 0.3844 0.2184 0.3774
Mg 0.6156 0.7816 0.8774
Mg 0.7816 0.6156 0.3774
Mg 0.8944 0.1056 0.0000
Hg 0.3205 0.6795 0.4679
Hg 0.6795 0.3205 0.9679
Pd 0.0104 0.4793 0.1923
Pd 0.0668 0.2164 0.4715
Pd 0.2164 0.0668 0.9715
Pd 0.2636 0.7364 0.9654
Pd 0.4793 0.0104 0.6923
Pd 0.4804 0.5196 0.1573
Pd 0.5196 0.4804 0.6573
Pd 0.5207 0.9896 0.1923
Pd 0.7364 0.2636 0.4654
Pd 0.7836 0.9332 0.4715
Pd 0.9332 0.7836 0.9715
Pd 0.9896 0.5207 0.6923
```

***

Energies relative to the minimum, meV/atom: model i 0; model ii 174

***

Model i:
Entry from Alexandria: a relaxed structure of MgHg3Pd6 (PBE). Values from VASP.

```
&SYSTEM
  ibrav = 0, nat = 20, ntyp = 3
/
ATOMIC_SPECIES
Mg 24.30 Mg.upf
Hg 200.59 Hg.upf
Pd 106.42 Pd.upf
CELL_PARAMETERS angstrom
7.8191 0.0000 0.0000
0.0000 4.6810 0.0000
-3.1983 0.0000 9.3523
ATOMIC_POSITIONS crystal
Mg 0.0565 0.2500 0.3890
Mg 0.9435 0.7500 0.6110
Hg 0.2392 0.2500 0.9928
Hg 0.3446 0.7500 0.8002
Hg 0.4602 0.2500 0.5988
Hg 0.5398 0.7500 0.4012
Hg 0.6554 0.2500 0.1998
Hg 0.7608 0.7500 0.0072
Pd 0.0453 0.7500 0.8994
Pd 0.1432 0.2500 0.6807
Pd 0.1455 0.7500 0.2068
Pd 0.2333 0.7500 0.5025
Pd 0.3451 0.2500 0.2947
Pd 0.4453 0.7500 0.1012
Pd 0.5547 0.2500 0.8988
Pd 0.6549 0.7500 0.7053
Pd 0.7667 0.2500 0.4975
Pd 0.8545 0.2500 0.7932
Pd 0.8568 0.7500 0.3193
Pd 0.9547 0.2500 0.1006
```

***

Model ii:
Entry from Alexandria: a relaxed structure of MgHg3Pd6 (PBE). Values from VASP.

```
&SYSTEM
  ibrav = 0, nat = 20, ntyp = 3
/
ATOMIC_SPECIES
Mg 24.30 Mg.upf
Hg 200.59 Hg.upf
Pd 106.42 Pd.upf
CELL_PARAMETERS angstrom
4.5876 -7.8832 0.0000
4.5876 7.8832 0.0000
0.0000 0.0000 4.9147
ATOMIC_POSITIONS crystal
Mg 0.2199 0.7801 0.5000
Mg 0.7801 0.2199 0.0000
Hg 0.0703 0.2583 0.6599
Hg 0.2583 0.0703 0.1599
Hg 0.4058 0.5942 0.5799
Hg 0.5942 0.4058 0.0799
Hg 0.7417 0.9297 0.6599
Hg 0.9297 0.7417 0.1599
Pd 0.0313 0.4603 0.2889
Pd 0.0609 0.9391 0.6680
Pd 0.2796 0.3947 0.1082
Pd 0.2906 0.7094 0.0025
Pd 0.3947 0.2796 0.6082
Pd 0.4603 0.0313 0.7889
Pd 0.5397 0.9687 0.2889
Pd 0.6053 0.7204 0.1082
Pd 0.7094 0.2906 0.5025
Pd 0.7204 0.6053 0.6082
Pd 0.9391 0.0609 0.1680
Pd 0.9687 0.5397 0.7889
```

***

Energies relative to the minimum, meV/atom: model i 0; model ii 134

***

Model i:
Entry from Alexandria: a relaxed structure of Mg3Hg2Pd (PBE). Values from VASP.

```
&SYSTEM
  ibrav = 0, nat = 6, ntyp = 3
/
ATOMIC_SPECIES
Mg 24.30 Mg.upf
Hg 200.59 Hg.upf
Pd 106.42 Pd.upf
CELL_PARAMETERS angstrom
3.3206 0.0000 0.0000
0.0000 3.3206 0.0000
0.0000 0.0000 10.5518
ATOMIC_POSITIONS crystal
Mg 0.0000 0.0000 0.0000
Mg 0.0000 0.0000 0.3597
Mg 0.0000 0.0000 0.6403
Hg 0.5000 0.5000 0.1812
Hg 0.5000 0.5000 0.8188
Pd 0.5000 0.5000 0.5000
```

***

Model ii:
Entry from Alexandria: a relaxed structure of Mg3Hg2Pd (PBE). Values from VASP.

```
&SYSTEM
  ibrav = 0, nat = 12, ntyp = 3
/
ATOMIC_SPECIES
Mg 24.30 Mg.upf
Hg 200.59 Hg.upf
Pd 106.42 Pd.upf
CELL_PARAMETERS angstrom
2.3292 -6.9839 0.0000
2.3292 6.9839 0.0000
0.0000 0.0000 7.1493
ATOMIC_POSITIONS crystal
Mg 0.0000 0.0000 0.2339
Mg 0.0000 0.0000 0.7661
Mg 0.3269 0.6731 0.2227
Mg 0.3269 0.6731 0.7773
Mg 0.6731 0.3269 0.2227
Mg 0.6731 0.3269 0.7773
Hg 0.1655 0.8345 0.5000
Hg 0.5000 0.5000 0.0000
Hg 0.5000 0.5000 0.5000
Hg 0.8345 0.1655 0.5000
Pd 0.1649 0.8351 0.0000
Pd 0.8351 0.1649 0.0000
```

***

Energies relative to the minimum, meV/atom: model i 0; model ii 14